[1]
Mg2AgSe | PBE-GGA | relaxed

Structure (CIF):
```
data_Mg2AgSe
_cell_length_a 3.8067
_cell_length_b 3.8067
_cell_length_c 5.9463
_cell_angle_alpha 90.00
_cell_angle_beta 90.00
_cell_angle_gamma 90.00
_symmetry_space_group_name_H-M 'P 1'
_symmetry_Int_Tables_number 1
loop_
_symmetry_equiv_pos_as_xyz
'x,y,z'
loop_
_atom_site_label
_atom_site_type_symbol
_atom_site_fract_x
_atom_site_fract_y
_atom_site_fract_z
_atom_site_occupancy
Mg1 Mg 0.0000 0.0000 0.9441 1
Mg2 Mg 0.5000 0.5000 0.3086 1
Se1 Se 0.0000 0.0000 0.4115 1
Ag1 Ag 0.5000 0.5000 0.8358 1
```

Values from the calculation:
DFT total energy in eV per cell: -11.23
Uncorrected formation energy in eV/atom: -0.426
Space-group type: P4mm (99)



[2]
LuCd2Au | PBE-GGA | relaxed

Structure (CIF):
```
data_LuCd2Au
_cell_length_a 3.1733
_cell_length_b 3.1733
_cell_length_c 10.9861
_cell_angle_alpha 81.70
_cell_angle_beta 81.70
_cell_angle_gamma 60.00
_symmetry_space_group_name_H-M 'P 1'
_symmetry_Int_Tables_number 1
loop_
_symmetry_equiv_pos_as_xyz
'x,y,z'
loop_
_atom_site_label
_atom_site_type_symbol
_atom_site_fract_x
_atom_site_fract_y
_atom_site_fract_z
_atom_site_occupancy
Lu1 Lu 0.0000 0.0000 0.0000 1
Au1 Au 0.5000 0.5000 0.5000 1
Cd1 Cd 0.0950 0.0950 0.7151 1
Cd2 Cd 0.9050 0.9050 0.2849 1
```

Values from the calculation:
DFT total energy in eV per cell: -9.17
ΔH_f (0 K) in meV per atom: 115
Space-group type: R-3m (166)



[3]
TaTiSe | PBE-GGA | relaxed

Structure (CIF):
```
data_TaTiSe
_cell_length_a 3.3663
_cell_length_b 3.3663
_cell_length_c 10.2596
_cell_angle_alpha 90.00
_cell_angle_beta 90.00
_cell_angle_gamma 90.00
_symmetry_space_group_name_H-M 'P 1'
_symmetry_Int_Tables_number 1
loop_
_symmetry_equiv_pos_as_xyz
'x,y,z'
loop_
_atom_site_label
_atom_site_type_symbol
_atom_site_fract_x
_atom_site_fract_y
_atom_site_fract_z
_atom_site_occupancy
Se1 Se 0.0000 0.5000 0.6546 1
Se2 Se 0.5000 0.0000 0.3454 1
Ti1 Ti 0.5000 0.0000 0.7599 1
Ti2 Ti 0.0000 0.5000 0.2401 1
Ta1 Ta 0.0000 0.5000 0.9250 1
Ta2 Ta 0.5000 0.0000 0.0750 1
```

Values from the calculation:
DFT total energy in eV per cell: -50.97
Uncorrected formation energy in eV/atom: -0.751
Space-group type: P4/nmm (129)



[4]
PuPaGeTe | PBE-GGA | relaxed

Structure (CIF):
```
data_PuPaGeTe
_cell_length_a 4.2638
_cell_length_b 4.2638
_cell_length_c 6.0797
_cell_angle_alpha 90.00
_cell_angle_beta 90.00
_cell_angle_gamma 90.00
_symmetry_space_group_name_H-M 'P 1'
_symmetry_Int_Tables_number 1
loop_
_symmetry_equiv_pos_as_xyz
'x,y,z'
loop_
_atom_site_label
_atom_site_type_symbol
_atom_site_fract_x
_atom_site_fract_y
_atom_site_fract_z
_atom_site_occupancy
Pu1 Pu 0.5000 0.5000 0.0000 1
Pa1 Pa 0.0000 0.0000 0.5000 1
Ge1 Ge 0.5000 0.5000 0.5000 1
Te1 Te 0.0000 0.0000 0.0000 1
```

Values from the calculation:
DFT total energy in eV per cell: -34.10
Energy relative to the lowest polymorph listed for this composition in meV per atom: 0
Uncorrected formation energy in eV/atom: -0.628
Space-group type: P4/mmm (123)



[5]
LaBi2SO4 | PBE-GGA | relaxed

Structure (CIF):
```
data_LaBi2SO4
_cell_length_a 3.9465
_cell_length_b 3.9465
_cell_length_c 9.2749
_cell_angle_alpha 90.00
_cell_angle_beta 90.00
_cell_angle_gamma 90.00
_symmetry_space_group_name_H-M 'P 1'
_symmetry_Int_Tables_number 1
loop_
_symmetry_equiv_pos_as_xyz
'x,y,z'
loop_
_atom_site_label
_atom_site_type_symbol
_atom_site_fract_x
_atom_site_fract_y
_atom_site_fract_z
_atom_site_occupancy
La1 La 0.0000 0.0000 0.0000 1
Bi1 Bi 0.5000 0.5000 0.2852 1
Bi2 Bi 0.5000 0.5000 0.7148 1
S1 S 0.0000 0.0000 0.5000 1
O1 O 0.0000 0.5000 0.1646 1
O2 O 0.5000 0.0000 0.8354 1
O3 O 0.5000 0.0000 0.1646 1
O4 O 0.0000 0.5000 0.8354 1
```

Values from the calculation:
DFT total energy in eV per cell: -50.03
Uncorrected formation energy in eV/atom: -1.673
Space-group type: P4/mmm (123)



[6]
LaCrSe2 | PBE-GGA | relaxed

Structure (CIF):
```
data_LaCrSe2
_cell_length_a 7.1191
_cell_length_b 7.1191
_cell_length_c 7.1191
_cell_angle_alpha 32.83
_cell_angle_beta 32.83
_cell_angle_gamma 32.83
_symmetry_space_group_name_H-M 'P 1'
_symmetry_Int_Tables_number 1
loop_
_symmetry_equiv_pos_as_xyz
'x,y,z'
loop_
_atom_site_label
_atom_site_type_symbol
_atom_site_fract_x
_atom_site_fract_y
_atom_site_fract_z
_atom_site_occupancy
Cr1 Cr 0.5785 0.5785 0.5785 1
La1 La 0.7519 0.7519 0.7519 1
Se1 Se 0.9871 0.9871 0.9871 1
Se2 Se 0.1825 0.1825 0.1825 1
```

Values from the calculation:
DFT total energy in eV per cell: -25.65
Energy relative to the lowest polymorph listed for this composition in meV per atom: 69
Uncorrected formation energy in eV/atom: -1.034
Space-group type: R3m (160)



[7]
In2Sn2Pb | PBE-GGA | relaxed

Structure (CIF):
```
data_In2Sn2Pb
_cell_length_a 4.4986
_cell_length_b 4.4986
_cell_length_c 8.0862
_cell_angle_alpha 73.85
_cell_angle_beta 73.85
_cell_angle_gamma 90.00
_symmetry_space_group_name_H-M 'P 1'
_symmetry_Int_Tables_number 1
loop_
_symmetry_equiv_pos_as_xyz
'x,y,z'
loop_
_atom_site_label
_atom_site_type_symbol
_atom_site_fract_x
_atom_site_fract_y
_atom_site_fract_z
_atom_site_occupancy
Pb1 Pb 0.0000 0.0000 0.0000 1
Sn1 Sn 0.3986 0.3986 0.2029 1
Sn2 Sn 0.6014 0.6014 0.7971 1
In1 In 0.7500 0.2500 0.5000 1
In2 In 0.2500 0.7500 0.5000 1
```

Values from the calculation:
DFT total energy in eV per cell: -16.67
Energy relative to the lowest polymorph listed for this composition in meV per atom: 76
ΔH_f (0 K) in meV per atom: 104
Space-group type: I4/mmm (139)



[8]
Ba2Li2Sn15 | PBE-GGA | relaxed

Structure (CIF):
```
data_Ba2Li2Sn15
_cell_length_a 8.4407
_cell_length_b 8.4407
_cell_length_c 8.4407
_cell_angle_alpha 78.30
_cell_angle_beta 78.30
_cell_angle_gamma 78.30
_symmetry_space_group_name_H-M 'P 1'
_symmetry_Int_Tables_number 1
loop_
_symmetry_equiv_pos_as_xyz
'x,y,z'
loop_
_atom_site_label
_atom_site_type_symbol
_atom_site_fract_x
_atom_site_fract_y
_atom_site_fract_z
_atom_site_occupancy
Ba1 Ba 0.6586 0.6586 0.6586 1
Ba2 Ba 0.3414 0.3414 0.3414 1
Li1 Li 0.9003 0.9003 0.9003 1
Li2 Li 0.0997 0.0997 0.0997 1
Sn1 Sn 0.0000 0.5000 0.0000 1
Sn2 Sn 0.0000 0.0000 0.5000 1
Sn3 Sn 0.5000 0.0000 0.0000 1
Sn4 Sn 0.2862 0.0000 0.7138 1
Sn5 Sn 0.7138 0.2862 0.0000 1
Sn6 Sn 0.0000 0.7138 0.2862 1
Sn7 Sn 0.2862 0.7138 0.0000 1
Sn8 Sn 0.0000 0.2862 0.7138 1
Sn9 Sn 0.7138 0.0000 0.2862 1
Sn10 Sn 0.3600 0.8597 0.3600 1
Sn11 Sn 0.3600 0.3600 0.8597 1
Sn12 Sn 0.8597 0.3600 0.3600 1
Sn13 Sn 0.6400 0.1403 0.6400 1
Sn14 Sn 0.6400 0.6400 0.1403 1
Sn15 Sn 0.1403 0.6400 0.6400 1
```

Values from the calculation:
DFT total energy in eV per cell: -71.20
ΔH_f (0 K) in meV per atom: -184
Space-group type: R-3m (166)



[9]
Sr4TcO6 | PBE-GGA | relaxed

Structure (CIF):
```
data_Sr4TcO6
_cell_length_a 6.2102
_cell_length_b 6.1724
_cell_length_c 12.2845
_cell_angle_alpha 77.61
_cell_angle_beta 75.36
_cell_angle_gamma 59.80
_symmetry_space_group_name_H-M 'P 1'
_symmetry_Int_Tables_number 1
loop_
_symmetry_equiv_pos_as_xyz
'x,y,z'
loop_
_atom_site_label
_atom_site_type_symbol
_atom_site_fract_x
_atom_site_fract_y
_atom_site_fract_z
_atom_site_occupancy
Sr1 Sr 0.4080 0.9070 0.6450 1
Sr2 Sr 0.0400 0.4070 0.1450 1
Sr3 Sr 0.8390 0.2662 0.4648 1
Sr4 Sr 0.4300 0.7662 0.9648 1
Sr5 Sr 0.0903 0.5998 0.6093 1
Sr6 Sr 0.7005 0.0998 0.1093 1
Sr7 Sr 0.7090 0.1777 0.8082 1
Sr8 Sr 0.3052 0.6777 0.3082 1
Tc1 Tc 0.6716 0.8867 0.3801 1
Tc2 Tc 0.0615 0.3867 0.8801 1
O1 O 0.3648 0.5144 0.1386 1
O2 O 0.9821 0.0144 0.6386 1
O3 O 0.4708 0.6911 0.4800 1
O4 O 0.3581 0.1911 0.9800 1
O5 O 0.4845 0.1618 0.4652 1
O6 O 0.8885 0.6618 0.9652 1
O7 O 0.9889 0.1145 0.9391 1
O8 O 0.9575 0.6145 0.4391 1
O9 O 0.9055 0.0870 0.2777 1
O10 O 0.7298 0.5870 0.7777 1
O11 O 0.3165 0.2799 0.7460 1
O12 O 0.6576 0.7799 0.2460 1
```

Values from the calculation:
DFT total energy in eV per cell: -143.52
Uncorrected formation energy in eV/atom: -2.265
Space-group type: Cc (9)



[10]
AgHgMo2 | PBE-GGA | relaxed

Structure (CIF):
```
data_AgHgMo2
_cell_length_a 5.9487
_cell_length_b 5.9487
_cell_length_c 7.2201
_cell_angle_alpha 65.67
_cell_angle_beta 65.67
_cell_angle_gamma 90.00
_symmetry_space_group_name_H-M 'P 1'
_symmetry_Int_Tables_number 1
loop_
_symmetry_equiv_pos_as_xyz
'x,y,z'
loop_
_atom_site_label
_atom_site_type_symbol
_atom_site_fract_x
_atom_site_fract_y
_atom_site_fract_z
_atom_site_occupancy
Mo1 Mo 0.6116 0.1250 0.2500 1
Mo2 Mo 0.1384 0.6250 0.2500 1
Mo3 Mo 0.3750 0.3884 0.7500 1
Mo4 Mo 0.8750 0.8616 0.7500 1
Hg1 Hg 0.0000 0.0000 0.0000 1
Hg2 Hg 0.7500 0.2500 0.5000 1
Ag1 Ag 0.5000 0.5000 0.0000 1
Ag2 Ag 0.2500 0.7500 0.5000 1
```

Values from the calculation:
DFT total energy in eV per cell: -30.95
ΔH_f (0 K) in meV per atom: 2335
Space-group type: I-42d (122)



[11]
Ce2PuSe5 | PBE-GGA | relaxed

Structure (CIF):
```
data_Ce2PuSe5
_cell_length_a 4.9562
_cell_length_b 7.0091
_cell_length_c 7.0091
_cell_angle_alpha 90.00
_cell_angle_beta 90.00
_cell_angle_gamma 90.00
_symmetry_space_group_name_H-M 'P 1'
_symmetry_Int_Tables_number 1
loop_
_symmetry_equiv_pos_as_xyz
'x,y,z'
loop_
_atom_site_label
_atom_site_type_symbol
_atom_site_fract_x
_atom_site_fract_y
_atom_site_fract_z
_atom_site_occupancy
Ce1 Ce 0.5000 0.5000 0.0000 1
Ce2 Ce 0.5000 0.0000 0.5000 1
Pu1 Pu 0.0000 0.0000 0.0000 1
Se1 Se 0.0000 0.7262 0.7262 1
Se2 Se 0.0000 0.2738 0.7262 1
Se3 Se 0.0000 0.7262 0.2738 1
Se4 Se 0.5000 0.0000 0.0000 1
Se5 Se 0.0000 0.2738 0.2738 1
```

Values from the calculation:
DFT total energy in eV per cell: -51.69
Uncorrected formation energy in eV/atom: -1.009
Space-group type: P4/mmm (123)



[12]
BeTc2Se | PBE-GGA | relaxed

Structure (CIF):
```
data_BeTc2Se
_cell_length_a 2.9870
_cell_length_b 2.9870
_cell_length_c 5.8988
_cell_angle_alpha 90.00
_cell_angle_beta 90.00
_cell_angle_gamma 90.00
_symmetry_space_group_name_H-M 'P 1'
_symmetry_Int_Tables_number 1
loop_
_symmetry_equiv_pos_as_xyz
'x,y,z'
loop_
_atom_site_label
_atom_site_type_symbol
_atom_site_fract_x
_atom_site_fract_y
_atom_site_fract_z
_atom_site_occupancy
Be1 Be 0.5000 0.5000 0.2500 1
Tc1 Tc 0.0000 0.0000 0.0228 1
Tc2 Tc 0.0000 0.0000 0.4772 1
Se1 Se 0.5000 0.5000 0.7500 1
```

Values from the calculation:
DFT total energy in eV per cell: -27.47
Energy relative to the lowest polymorph listed for this composition in meV per atom: 150
Uncorrected formation energy in eV/atom: 0.117
Space-group type: P4/mmm (123)



Please write out number 2 again, unchanged.
LuCd2Au | PBE-GGA | relaxed

Structure (CIF):
```
data_LuCd2Au
_cell_length_a 3.1733
_cell_length_b 3.1733
_cell_length_c 10.9861
_cell_angle_alpha 81.70
_cell_angle_beta 81.70
_cell_angle_gamma 60.00
_symmetry_space_group_name_H-M 'P 1'
_symmetry_Int_Tables_number 1
loop_
_symmetry_equiv_pos_as_xyz
'x,y,z'
loop_
_atom_site_label
_atom_site_type_symbol
_atom_site_fract_x
_atom_site_fract_y
_atom_site_fract_z
_atom_site_occupancy
Lu1 Lu 0.0000 0.0000 0.0000 1
Au1 Au 0.5000 0.5000 0.5000 1
Cd1 Cd 0.0950 0.0950 0.7151 1
Cd2 Cd 0.9050 0.9050 0.2849 1
```

Values from the calculation:
DFT total energy in eV per cell: -9.17
ΔH_f (0 K) in meV per atom: 115
Space-group type: R-3m (166)



Question: Which formula does entry 8 have?
Answer: Ba2Li2Sn15